DFT (GGA-PBE) results for crystalline LaMg2ZnPd2 at its relaxed geometry.

Values from the calculation:
magnetic moment: 0.000 μB/f.u.
calculated formation energy: -2.12 eV/f.u.
DOS at the Fermi energy: 8.075 states/eV/cell

a = 5.174 Å, b = 5.174 Å, c = 10.621 Å
α = 90.00°, β = 90.00°, γ = 90.00°
Space group I4/mmm (No. 139)
Inequivalent atoms, fractional coordinates:
La  0.000  0.000  0.000 x2
Mg  0.000  0.500  0.250 x4
Zn  0.000  0.000  0.500 x2
Pd  0.000  0.000  0.269 x4

---

DFT (GGA-PBE) results for crystalline LaMgZnPd3 at its relaxed geometry.

Values from the calculation:
magnetic moment: 0.000 μB/f.u.
calculated formation energy: -3.13 eV/f.u.
DOS at the Fermi energy: 9.614 states/eV/cell

a = 5.731 Å, b = 13.919 Å, c = 5.884 Å
α = 90.00°, β = 90.00°, γ = 90.00°
Space group Cmcm (No. 63)
Inequivalent atoms, fractional coordinates:
La  0.000  0.161  0.250 x4
Mg  0.000  0.384  0.250 x4
Zn  0.000  0.126  0.750 x4
Pd  0.000  0.322  0.750 x4
Pd  0.249  0.000  0.000 x8

---

DFT (GGA-PBE) results for crystalline LaMgZn2Pd at its relaxed geometry.

Values from the calculation:
magnetic moment: 0.000 μB/f.u.
calculated formation energy: -2.42 eV/f.u.
DOS at the Fermi energy: 6.183 states/eV/cell
relative energy among the computed polymorphs: 0.0 kJ per mole of atoms

a = 3.907 Å, b = 4.305 Å, c = 12.489 Å
α = 90.00°, β = 90.00°, γ = 90.00°
Space group Imm2 (No. 44)
Inequivalent atoms, fractional coordinates:
La  0.000  0.000  0.000 x2
Mg  0.000  0.500  0.758 x2
Zn  0.000  0.000  0.619 x2
Zn  0.000  0.500  0.268 x2
Pd  0.000  0.000  0.409 x2

---

DFT (GGA-PBE) results for crystalline La3MgZn2Pd9 at its relaxed geometry.

Values from the calculation:
magnetic moment: 0.000 μB/f.u.
calculated formation energy: -6.36 eV/f.u.
DOS at the Fermi energy: 5.865 states/eV/cell

a = 7.3758 Å, b = 7.3758 Å, c = 6.7501 Å
α = 90.00°, β = 90.00°, γ = 120.00°
Space group P-3m1 (No. 164)
Inequivalent atoms, fractional coordinates:
La  0.0000  0.0000  0.0000 x1
La  0.3333  0.6667  0.6680 x2
Mg  0.0000  0.0000  0.5000 x1
Zn  0.3333  0.6667  0.1623 x2
Pd  0.0000  0.5000  0.0000 x3
Pd  0.1688  0.3377  0.3347 x6

---

DFT (GGA-PBE) results for crystalline La2MgZn3Pd4 at its relaxed geometry.

Values from the calculation:
magnetic moment: 0.000 μB/f.u.
calculated formation energy: -6.43 eV/f.u.
DOS at the Fermi energy: 6.992 states/eV/cell

a = 4.267 Å, b = 4.267 Å, c = 11.071 Å
α = 90.00°, β = 90.00°, γ = 90.00°
Space group P-4m2 (No. 115)
Inequivalent atoms, fractional coordinates:
La  0.000  0.500  0.238 x2
Mg  0.000  0.000  0.500 x1
Zn  0.000  0.500  0.873 x2
Zn  0.500  0.500  0.500 x1
Pd  0.000  0.000  0.000 x1
Pd  0.000  0.500  0.643 x2
Pd  0.500  0.500  0.000 x1

---

DFT (GGA-PBE) results for crystalline LaMg2ZnPd at its relaxed geometry.

Values from the calculation:
magnetic moment: 0.001 μB/f.u.
calculated formation energy: -1.47 eV/f.u.
DOS at the Fermi energy: 4.988 states/eV/cell

a = 4.936 Å, b = 4.936 Å, c = 4.933 Å
α = 90.00°, β = 90.00°, γ = 90.00°
Space group P4/mmm (No. 123)
Inequivalent atoms, fractional coordinates:
La  0.000  0.000  0.000 x1
Mg  0.000  0.500  0.500 x2
Zn  0.500  0.500  0.000 x1
Pd  0.500  0.500  0.500 x1

---

DFT (GGA-PBE) results for crystalline La2Pm6Mg at its relaxed geometry.

Values from the calculation:
magnetic moment: 0.000 μB/f.u.
calculated formation energy: 0.56 eV/f.u.
DOS at the Fermi energy: 44.159 states/eV/cell
relative energy among the computed polymorphs: 4.4 kJ per mole of atoms

a = 10.418 Å, b = 11.797 Å, c = 10.970 Å
α = 90.00°, β = 116.05°, γ = 90.00°
Space group C2/c (No. 15)
Inequivalent atoms, fractional coordinates:
La  0.167  0.143  0.256 x8
Pm  0.007  0.364  0.439 x8
Pm  0.156  0.146  0.899 x8
Pm  0.172  0.097  0.585 x8
Mg  0.000  0.397  0.750 x4

---

DFT (GGA-PBE) results for crystalline La2PmMg2 at its relaxed geometry.

Values from the calculation:
magnetic moment: 0.000 μB/f.u.
calculated formation energy: 0.09 eV/f.u.
DOS at the Fermi energy: 13.410 states/eV/cell
relative energy among the computed polymorphs: 2.6 kJ per mole of atoms

a = 5.361 Å, b = 7.323 Å, c = 8.295 Å
α = 90.00°, β = 90.00°, γ = 90.00°
Space group Immm (No. 71)
Inequivalent atoms, fractional coordinates:
La  0.000  0.000  0.190 x4
Pm  0.000  0.500  0.000 x2
Mg  0.000  0.293  0.500 x4

---

DFT (GGA-PBE) results for crystalline La7Pm12Mg at its relaxed geometry.

Values from the calculation:
magnetic moment: 0.000 μB/f.u.
calculated formation energy: 11.47 eV/f.u.
DOS at the Fermi energy: 59.894 states/eV/cell

a = 11.593 Å, b = 11.593 Å, c = 11.593 Å
α = 90.00°, β = 90.00°, γ = 90.00°
Space group Im-3m (No. 229)
Inequivalent atoms, fractional coordinates:
La  0.000  0.000  0.500 x6
La  0.250  0.250  0.250 x8
Pm  0.000  0.246  0.246 x24
Mg  0.000  0.000  0.000 x2

---

DFT (GGA-PBE) results for crystalline La2Pm7Mg2 at its relaxed geometry.

Values from the calculation:
magnetic moment: 0.002 μB/f.u.
calculated formation energy: 0.66 eV/f.u.
DOS at the Fermi energy: 32.839 states/eV/cell
relative energy among the computed polymorphs: 0.0 kJ per mole of atoms

a = 8.886 Å, b = 9.923 Å, c = 8.782 Å
α = 90.00°, β = 108.70°, γ = 90.00°
Space group C2/m (No. 12)
Inequivalent atoms, fractional coordinates:
La  0.000  0.179  0.000 x4
Pm  0.000  0.500  0.500 x2
Pm  0.140  0.500  0.913 x4
Pm  0.208  0.177  0.675 x8
Mg  0.116  0.000  0.337 x4

---

DFT (GGA-PBE) results for crystalline LaPmMg2 at its relaxed geometry.

Values from the calculation:
magnetic moment: 0.000 μB/f.u.
calculated formation energy: -0.44 eV/f.u.
DOS at the Fermi energy: 4.183 states/eV/cell
relative energy among the computed polymorphs: 0.5 kJ per mole of atoms

a = 5.531 Å, b = 5.531 Å, c = 3.918 Å
α = 90.00°, β = 90.00°, γ = 90.00°
Space group P4/mmm (No. 123)
Inequivalent atoms, fractional coordinates:
La  0.000  0.000  0.000 x1
Pm  0.500  0.500  0.000 x1
Mg  0.000  0.500  0.500 x2

---

DFT (GGA-PBE) results for crystalline La4Pm15Mg at its relaxed geometry.

Values from the calculation:
magnetic moment: 0.000 μB/f.u.
calculated formation energy: 0.34 eV/f.u.
DOS at the Fermi energy: 29.010 states/eV/cell

a = 5.164 Å, b = 5.164 Å, c = 25.802 Å
α = 90.00°, β = 90.00°, γ = 90.00°
Space group P4/mmm (No. 123)
Inequivalent atoms, fractional coordinates:
La  0.000  0.000  0.101 x2
La  0.000  0.000  0.304 x2
Pm  0.000  0.500  0.000 x2
Pm  0.000  0.500  0.202 x4
Pm  0.000  0.500  0.404 x4
Pm  0.500  0.500  0.102 x2
Pm  0.500  0.500  0.306 x2
Pm  0.500  0.500  0.500 x1
Mg  0.000  0.000  0.500 x1

---

DFT (GGA-PBE) results for crystalline La8Pm3Mg at its relaxed geometry.

Values from the calculation:
magnetic moment: 0.000 μB/f.u.
calculated formation energy: 0.18 eV/f.u.
DOS at the Fermi energy: 19.709 states/eV/cell

a = 3.760 Å, b = 11.380 Å, c = 11.401 Å
α = 63.04°, β = 80.55°, γ = 80.50°
Space group P1 (No. 1)
Inequivalent atoms, fractional coordinates:
La  0.000  0.000  0.000 x1
La  0.001  0.502  0.497 x1
La  0.221  0.532  0.026 x1
La  0.336  0.654  0.675 x1
La  0.541  0.210  0.706 x1
La  0.555  0.699  0.192 x1
La  0.672  0.326  0.333 x1
La  0.886  0.870  0.358 x1
Pm  0.218  0.031  0.531 x1
Pm  0.337  0.182  0.146 x1
Pm  0.667  0.840  0.825 x1
Mg  0.885  0.366  0.866 x1

---

DFT (GGA-PBE) results for crystalline La2Pm3Mg3 at its relaxed geometry.

Values from the calculation:
magnetic moment: 0.000 μB/f.u.
calculated formation energy: -0.44 eV/f.u.
DOS at the Fermi energy: 22.571 states/eV/cell

a = 3.913 Å, b = 5.570 Å, c = 23.007 Å
α = 90.00°, β = 90.00°, γ = 90.00°
Space group Immm (No. 71)
Inequivalent atoms, fractional coordinates:
La  0.000  0.000  0.234 x4
Pm  0.000  0.000  0.000 x2
Pm  0.000  0.500  0.121 x4
Mg  0.000  0.000  0.500 x2
Mg  0.000  0.500  0.385 x4

---

DFT (GGA-PBE) results for crystalline La14PmMg at its relaxed geometry.

Values from the calculation:
magnetic moment: 0.000 μB/f.u.
calculated formation energy: -0.14 eV/f.u.
DOS at the Fermi energy: 42.213 states/eV/cell

a = 10.514 Å, b = 10.411 Å, c = 10.409 Å
α = 90.00°, β = 90.00°, γ = 90.00°
Space group Amm2 (No. 38)
Inequivalent atoms, fractional coordinates:
La  0.000  0.000  0.000 x2
La  0.000  0.000  0.499 x2
La  0.000  0.250  0.250 x4
La  0.253  0.000  0.753 x4
La  0.253  0.247  0.000 x8
La  0.254  0.000  0.247 x4
La  0.500  0.250  0.250 x4
Pm  0.500  0.000  0.500 x2
Mg  0.500  0.000  0.000 x2

---

DFT (GGA-PBE) results for crystalline La2PmMg2 at its relaxed geometry.

Values from the calculation:
magnetic moment: 0.000 μB/f.u.
calculated formation energy: -0.04 eV/f.u.
DOS at the Fermi energy: 10.545 states/eV/cell
relative energy among the computed polymorphs: 0.0 kJ per mole of atoms

a = 3.938 Å, b = 20.798 Å, c = 3.853 Å
α = 90.00°, β = 90.00°, γ = 90.00°
Space group Cmmm (No. 65)
Inequivalent atoms, fractional coordinates:
La  0.000  0.185  0.000 x4
Pm  0.000  0.000  0.000 x2
Mg  0.000  0.412  0.500 x4

---

DFT (GGA-PBE) results for crystalline La8Pm5Mg at its relaxed geometry.

Values from the calculation:
magnetic moment: 0.000 μB/f.u.
calculated formation energy: 2.89 eV/f.u.
DOS at the Fermi energy: 43.265 states/eV/cell

a = 10.001 Å, b = 10.001 Å, c = 10.191 Å
α = 90.00°, β = 90.00°, γ = 90.00°
Space group I-4 (No. 82)
Inequivalent atoms, fractional coordinates:
La  0.066  0.335  0.082 x8
La  0.084  0.189  0.755 x8
Pm  0.000  0.000  0.000 x2
Pm  0.097  0.204  0.421 x8
Mg  0.000  0.500  0.750 x2

---

DFT (GGA-PBE) results for crystalline LaPm2Mg4 at its relaxed geometry.

Values from the calculation:
magnetic moment: 0.000 μB/f.u.
calculated formation energy: 0.56 eV/f.u.
DOS at the Fermi energy: 26.013 states/eV/cell

a = 5.4119 Å, b = 5.4119 Å, c = 23.9100 Å
α = 90.00°, β = 90.00°, γ = 120.00°
Space group R-3m (No. 166, hexagonal axes)
Inequivalent atoms, fractional coordinates:
La  0.0000  0.0000  0.0000 x3
Pm  0.0000  0.0000  0.2851 x6
Mg  0.0000  0.0000  0.1405 x6
Mg  0.0000  0.0000  0.4310 x6

---

DFT (GGA-PBE) results for crystalline LaPmMg6 at its relaxed geometry.

Values from the calculation:
magnetic moment: 0.000 μB/f.u.
calculated formation energy: -0.77 eV/f.u.
DOS at the Fermi energy: 17.019 states/eV/cell

a = 5.240 Å, b = 6.865 Å, c = 11.867 Å
α = 90.00°, β = 90.00°, γ = 90.00°
Space group Amm2 (No. 38)
Inequivalent atoms, fractional coordinates:
La  0.000  0.000  0.000 x2
Pm  0.500  0.000  0.668 x2
Mg  0.000  0.000  0.498 x2
Mg  0.000  0.243  0.252 x4
Mg  0.500  0.000  0.174 x2
Mg  0.500  0.239  0.415 x4

---

DFT (GGA-PBE) results for crystalline La8Pm6Mg at its relaxed geometry.

Values from the calculation:
magnetic moment: 0.000 μB/f.u.
calculated formation energy: 0.35 eV/f.u.
DOS at the Fermi energy: 68.010 states/eV/cell

a = 6.3631 Å, b = 6.3631 Å, c = 45.1345 Å
α = 90.00°, β = 90.00°, γ = 120.00°
Space group R-3 (No. 148, hexagonal axes)
Inequivalent atoms, fractional coordinates:
La  0.0000  0.0000  0.1667 x6
La  0.0001  0.3342  0.6318 x18
Pm  0.0003  0.3314  0.4346 x18
Mg  0.0000  0.0000  0.5000 x3

---

Going through the records in order, we get electronic total energy values of -3.650 -4.417 -3.336 -4.802 -4.247 -3.212 -4.377 -3.541 -4.081 -4.149 -3.328 -4.611 -4.590 -3.666 -4.717 -3.568 -4.420 -2.893 -2.502 -4.611 eV/atom.